No. 1
First-principles (PBE-GGA) data for an optimized crystal structure of Rb3UTe6, as listed in Alexandria.

Space-group type = R3m (160)

```
Rb3UTe6
1.0
4.544 0.000 -1.206
-2.895 9.320 -4.799
1.245 0.000 10.803
U Te Rb
1 6 3
direct
0.511 0.000 0.000 U
0.948 0.800 0.000 Te
0.948 0.000 0.800 Te
0.654 0.000 0.279 Te
0.654 0.279 0.000 Te
0.148 0.200 0.200 Te
0.376 0.721 0.721 Te
0.323 0.000 0.548 Rb
0.775 0.452 0.452 Rb
0.323 0.548 0.000 Rb
```


No. 2
First-principles (PBE-GGA) data for an optimized crystal structure of Rb2UTe4, as listed in Alexandria.

Space-group type = I4/mmm (139)
Energy above the most stable polymorph in this dataset = 0 meV/atom

```
Rb2UTe4
1.0
8.285 0.000 0.000
0.000 7.318 3.879
0.000 -0.673 10.118
Te Rb U
8 4 2
direct
0.250 0.750 0.000 Te
0.750 0.250 0.000 Te
0.500 0.345 0.310 Te
0.750 0.750 0.000 Te
0.500 0.655 0.690 Te
0.000 0.845 0.310 Te
0.250 0.250 0.000 Te
0.000 0.155 0.690 Te
0.000 0.644 0.713 Rb
0.500 0.144 0.713 Rb
0.500 0.856 0.287 Rb
0.000 0.356 0.287 Rb
0.000 0.000 0.000 U
0.500 0.500 0.000 U
```


No. 3
First-principles (PBE-GGA) data for an optimized crystal structure of Rb2U3Te8, as listed in Alexandria.

Space-group type = Cmmm (65)

```
Rb2U3Te8
1.0
5.293 -9.122 0.000
5.293 9.122 0.000
0.000 0.000 5.233
U Te Rb
3 8 2
direct
0.000 0.000 0.500 U
0.722 0.722 0.000 U
0.278 0.278 0.000 U
0.906 0.094 0.000 Te
0.094 0.906 0.000 Te
0.604 0.396 0.000 Te
0.662 0.857 0.500 Te
0.396 0.604 0.000 Te
0.338 0.143 0.500 Te
0.143 0.338 0.500 Te
0.857 0.662 0.500 Te
0.255 0.745 0.500 Rb
0.745 0.255 0.500 Rb
```


No. 4
First-principles (PBE-GGA) data for an optimized crystal structure of Rb3U2Te6, as listed in Alexandria.

Space-group type = I4/mmm (139)

```
Rb3U2Te6
1.0
5.738 0.000 -1.126
-0.221 5.734 -1.126
0.081 0.084 15.594
Rb Te U
3 6 2
direct
0.000 0.000 0.000 Rb
0.819 0.819 0.638 Rb
0.181 0.181 0.362 Rb
0.695 0.695 0.391 Te
0.917 0.417 0.834 Te
0.083 0.583 0.166 Te
0.583 0.083 0.166 Te
0.417 0.917 0.834 Te
0.305 0.305 0.609 Te
0.602 0.602 0.204 U
0.398 0.398 0.796 U
```


No. 5
First-principles (PBE-GGA) data for an optimized crystal structure of Rb4UTe4, as listed in Alexandria.

Space-group type = I-42m (121)

```
Rb4UTe4
1.0
-6.265 -5.952 1.191
3.825 -5.200 -5.867
5.267 2.407 7.787
Te U Rb
4 1 4
direct
0.082 0.082 0.773 Te
0.308 0.918 0.227 Te
0.692 0.692 0.773 Te
0.918 0.308 0.227 Te
0.000 0.000 0.000 U
0.299 0.299 0.598 Rb
0.701 0.701 0.402 Rb
0.500 0.000 0.000 Rb
0.000 0.500 0.000 Rb
```


No. 6
First-principles (PBE-GGA) data for an optimized crystal structure of RbU4Te8, as listed in Alexandria.

Space-group type = Cm (8)

```
RbU4Te8
1.0
4.341 0.000 0.940
1.935 10.288 1.559
-0.195 0.213 11.390
U Te Rb
4 8 1
direct
0.180 0.506 0.134 U
0.370 0.832 0.429 U
0.852 0.497 0.800 U
0.662 0.172 0.504 U
0.138 0.342 0.382 Te
0.181 0.003 0.634 Te
0.555 0.688 0.203 Te
0.850 0.001 0.299 Te
0.892 0.663 0.552 Te
0.477 0.315 0.731 Te
0.809 0.332 0.049 Te
0.222 0.671 0.885 Te
0.516 0.001 0.967 Rb
```


Result set for calculated density: 4.44, 4.81, 6.26, 4.84, 3.18, 6.71 g/cm3, one per record in the order listed.
Result set for ΔE_f (raw): -540, -521, -841, -775, -704, -800 kJ/mol of formula units, one per record in the order listed.